# 1
Nd2ErMg3CdIn2 | PBE-GGA | relaxed

abc: 4.705 7.583 7.583
angles: 119.13 90.00 90.00
Atoms (fractional coordinates):
Nd 0.000 0.002 0.426
Nd 0.000 0.426 0.002
Mg 0.500 0.760 0.999
Mg 0.500 0.999 0.760
Mg 0.500 0.239 0.239
Cd 0.000 0.991 0.991
Er 0.000 0.578 0.578
In 0.500 0.665 0.340
In 0.500 0.340 0.665

Summary:
- Total moment: 0.00 μB/atom
- Raw total energy: -3.166 eV per atom


# 2
TaInSn | PBE-GGA | relaxed

abc: 4.810 4.810 4.810
angles: 60.00 60.00 60.00
Atoms (fractional coordinates):
In 0.250 0.250 0.250
Ta 0.000 0.000 0.000
Sn 0.750 0.750 0.750

Summary:
- Distance to the lowest polymorph of the same formula: 0.0000 eV/atom
- Total moment: 0.11 μB/atom
- Raw total energy: -5.555 eV per atom


# 3
TbTm2Al7Ag2 | PBE-GGA | relaxed

abc: 9.308 9.308 9.308
angles: 34.49 34.49 34.49
Atoms (fractional coordinates):
Al 0.412 0.412 0.924
Al 0.500 0.500 0.500
Al 0.588 0.588 0.076
Al 0.924 0.412 0.412
Al 0.076 0.588 0.588
Al 0.412 0.924 0.412
Al 0.588 0.076 0.588
Tb 0.000 0.000 0.000
Ag 0.336 0.336 0.336
Ag 0.664 0.664 0.664
Tm 0.857 0.857 0.857
Tm 0.143 0.143 0.143

Summary:
- Total moment: 0.00 μB/atom
- Raw total energy: -4.235 eV per atom


# 4
PuB2C | PBE-GGA | relaxed

abc: 5.234 5.234 5.234
angles: 77.71 77.71 77.71
Site moments in Bohr magnetons follow the coordinates.
Atoms (fractional coordinates):
C 0.000 0.000 0.500  -0.09
C 0.500 0.000 0.000  -0.07
C 0.000 0.500 0.000  -0.07
Pu 0.312 0.312 0.312  4.70
Pu 0.000 0.000 0.000  4.84
Pu 0.688 0.688 0.688  4.70
B 0.227 0.500 0.773  -0.04
B 0.227 0.773 0.500  -0.04
B 0.500 0.227 0.773  -0.05
B 0.500 0.773 0.227  -0.05
B 0.773 0.227 0.500  -0.04
B 0.773 0.500 0.227  -0.04

Summary:
- Total moment: 1.19 μB/atom
- Raw total energy: -9.595 eV per atom


# 5
Sc2Zn2Sn3 | PBE-GGA | relaxed

abc: 9.044 9.044 9.044
angles: 30.00 30.00 30.00
Atoms (fractional coordinates):
Sc 0.242 0.242 0.242
Sc 0.752 0.752 0.752
Sn 0.861 0.861 0.861
Sn 0.628 0.628 0.628
Sn 0.374 0.374 0.374
Zn 0.490 0.490 0.490
Zn 0.028 0.028 0.028

Summary:
- Total moment: 0.00 μB/atom
- Raw total energy: -3.968 eV per atom


# 6
CsLaAlAu | PBE-GGA | relaxed

abc: 5.382 5.382 5.382
angles: 60.00 60.00 60.00
Atoms (fractional coordinates):
Au 0.750 0.750 0.750
Al 0.500 0.500 0.500
La 0.250 0.250 0.250
Cs 0.000 0.000 0.000

Summary:
- Distance to the lowest polymorph of the same formula: 0.0959 eV/atom
- Total moment: 0.00 μB/atom
- Raw total energy: -3.040 eV per atom


Look up the total moment of the fifth one.
0.00 μB/atom